Tc2Cl | GGA-PBE | optimized geometry

Cell lengths 7.499, 7.499, 7.499 Å; angles 60.00, 60.00, 60.00 degrees
Atoms (fractional coordinates):
Tc  0.875  0.375  0.375
Tc  0.375  0.375  0.875
Tc  0.375  0.875  0.375
Tc  0.375  0.375  0.375
Cl  0.500  0.500  0.500
Cl  0.250  0.250  0.250

Calculated values
Energy relative to the lowest polymorph listed for this composition ... 1411.4 meV/atom
SG ... Fd-3m (227)
Spin magnetization ... 13.789 μB/cell


Tc3Cl2 | GGA-PBE | optimized geometry

Cell lengths 6.880, 6.880, 5.387 Å; angles 129.68, 50.32, 120.00 degrees
Atoms (fractional coordinates):
Tc  0.913  0.413  0.250
Tc  0.250  0.087  0.250
Tc  0.587  0.750  0.250
Tc  0.413  0.250  0.750
Tc  0.087  0.587  0.750
Tc  0.750  0.913  0.750
Cl  0.625  0.375  0.124
Cl  0.125  0.875  0.624
Cl  0.875  0.125  0.376
Cl  0.375  0.625  0.876

Calculated values
SG ... R-3c (167)
E ... -6.055 eV per atom
Spin magnetization ... 0.025 μB/cell


Tc2Cl13 | GGA-PBE | optimized geometry

Cell lengths 6.317, 8.684, 8.728 Å; angles 104.22, 104.50, 107.93 degrees
Atoms (fractional coordinates):
Cl  0.495  0.350  0.198
Cl  0.435  0.720  0.440
Cl  0.869  0.542  0.966
Cl  0.505  0.650  0.802
Cl  0.931  0.707  0.649
Cl  0.081  0.920  0.357
Cl  0.000  0.000  0.000
Cl  0.490  0.014  0.785
Cl  0.510  0.986  0.215
Cl  0.069  0.293  0.351
Cl  0.565  0.280  0.560
Cl  0.919  0.080  0.643
Cl  0.131  0.458  0.034
Tc  0.699  0.855  0.703
Tc  0.301  0.145  0.297

Calculated values
SG ... P-1 (2)
E ... -3.388 eV per atom
Spin magnetization ... 3.001 μB/cell


TmTe2Cl2 | GGA-PBE | optimized geometry

Cell lengths 6.942, 7.183, 7.884 Å; angles 82.13, 64.18, 75.97 degrees
Atoms (fractional coordinates):
Cl  0.078  0.761  0.490
Cl  0.922  0.239  0.510
Cl  0.564  0.761  0.521
Cl  0.436  0.239  0.479
Tm  0.824  0.003  0.350
Tm  0.176  0.997  0.650
Te  0.905  0.344  0.995
Te  0.261  0.065  0.999
Te  0.739  0.935  0.001
Te  0.095  0.656  0.005

Calculated values
SG ... P-1 (2)
E ... -4.273 eV per atom
Spin magnetization ... 0.004 μB/cell